Record 1
! LiGa3Ru, optimized geometry, DFT GGA-PBE; values from VASP
! - ΔE_f: -0.25 eV per atom
! - Magnetic moment: 0.00 Bohr magnetons per cell
! - Relative energy among the computed polymorphs: 0.0 meV per atom
! - SG: P-1 (2)
&SYSTEM
  ibrav = 0, nat = 10, ntyp = 3
/
ATOMIC_SPECIES
Li 6.94 Li.upf
Ga 69.72 Ga.upf
Ru 101.07 Ru.upf
CELL_PARAMETERS angstrom
4.634 0.000 0.000
-1.673 4.979 0.000
-0.684 -2.766 6.500
ATOMIC_POSITIONS crystal
Li 0.089 0.300 0.044
Li 0.911 0.700 0.956
Ga 0.129 0.114 0.364
Ga 0.314 0.530 0.752
Ga 0.485 0.128 0.826
Ga 0.515 0.872 0.174
Ga 0.686 0.470 0.248
Ga 0.871 0.886 0.636
Ru 0.274 0.690 0.450
Ru 0.726 0.310 0.550

Record 2
! La12Tb2Pm5, optimized geometry, DFT GGA-PBE; values from VASP
! - ΔE_f: 0.15 eV per atom
! - Magnetic moment: 0.00 Bohr magnetons per cell
! - Relative energy among the computed polymorphs: 65.4 meV per atom
! - SG: C2/m (12)
&SYSTEM
  ibrav = 0, nat = 19, ntyp = 3
/
ATOMIC_SPECIES
La 138.91 La.upf
Tb 158.93 Tb.upf
Pm 145.00 Pm.upf
CELL_PARAMETERS angstrom
9.783 -3.818 0.000
9.783 3.818 0.000
-4.484 0.000 9.159
ATOMIC_POSITIONS crystal
La 0.006 0.006 0.214
La 0.066 0.600 0.501
La 0.090 0.591 0.153
La 0.400 0.934 0.499
La 0.409 0.910 0.847
La 0.488 0.488 0.660
La 0.512 0.512 0.340
La 0.591 0.090 0.153
La 0.600 0.066 0.501
La 0.910 0.409 0.847
La 0.934 0.400 0.499
La 0.994 0.994 0.786
Tb 0.300 0.700 0.000
Tb 0.700 0.300 0.000
Pm 0.000 0.000 0.500
Pm 0.174 0.174 0.165
Pm 0.323 0.323 0.805
Pm 0.677 0.677 0.195
Pm 0.826 0.826 0.835

Record 3
! IrBr2Cl, optimized geometry, DFT GGA-PBE; values from VASP
! - Raw formation energy: 1.03 eV per atom
! - Magnetic moment: 1.28 Bohr magnetons per cell
! - Relative energy among the computed polymorphs: 1210.6 meV per atom
! - SG: Pmmm (47)
&SYSTEM
  ibrav = 0, nat = 4, ntyp = 3
/
ATOMIC_SPECIES
Ir 192.22 Ir.upf
Br 79.90 Br.upf
Cl 35.45 Cl.upf
CELL_PARAMETERS angstrom
3.083 0.000 0.000
0.000 4.382 0.000
0.000 0.000 8.416
ATOMIC_POSITIONS crystal
Ir 0.000 0.000 0.000
Br 0.000 0.500 0.500
Br 0.500 0.000 0.500
Cl 0.500 0.500 0.000

Record 4
! AcNpSi2, optimized geometry, DFT GGA-PBE; values from VASP
! - Raw formation energy: -0.21 eV per atom
! - Magnetic moment: 4.36 Bohr magnetons per cell
! - Relative energy among the computed polymorphs: 0.0 meV per atom
! - SG: P4/mmm (123)
&SYSTEM
  ibrav = 0, nat = 4, ntyp = 3
/
ATOMIC_SPECIES
Ac 227.00 Ac.upf
Np 237.00 Np.upf
Si 28.09 Si.upf
CELL_PARAMETERS angstrom
3.849 0.000 0.000
0.000 3.849 0.000
0.000 0.000 6.482
ATOMIC_POSITIONS crystal
Ac 0.000 0.000 0.000
Np 0.000 0.000 0.500
Si 0.500 0.500 0.311
Si 0.500 0.500 0.689

Record 5
! LaIrPb4, optimized geometry, DFT GGA-PBE; values from VASP
! - ΔE_f: 0.44 eV per atom
! - Magnetic moment: 0.44 Bohr magnetons per cell
! - SG: F-43m (216)
&SYSTEM
  ibrav = 0, nat = 6, ntyp = 3
/
ATOMIC_SPECIES
La 138.91 La.upf
Ir 192.22 Ir.upf
Pb 207.20 Pb.upf
CELL_PARAMETERS angstrom
0.000 4.442 4.442
4.442 0.000 4.442
4.442 4.442 0.000
ATOMIC_POSITIONS crystal
La 0.000 0.000 0.000
Ir 0.250 0.250 0.250
Pb 0.126 0.625 0.625
Pb 0.625 0.126 0.625
Pb 0.625 0.625 0.126
Pb 0.625 0.625 0.625

Record 6
! ZnNi2Ir, optimized geometry, DFT GGA-PBE; values from VASP
! - ΔE_f: -0.02 eV per atom
! - Magnetic moment: 1.72 Bohr magnetons per cell
! - SG: P4mm (99)
&SYSTEM
  ibrav = 0, nat = 4, ntyp = 3
/
ATOMIC_SPECIES
Zn 65.41 Zn.upf
Ni 58.69 Ni.upf
Ir 192.22 Ir.upf
CELL_PARAMETERS angstrom
2.967 0.000 0.000
0.000 2.967 0.000
0.000 0.000 5.699
ATOMIC_POSITIONS crystal
Zn 0.000 0.000 0.000
Ni 0.000 0.000 0.533
Ni 0.500 0.500 0.762
Ir 0.500 0.500 0.284

Record 7
! TmUH, optimized geometry, DFT GGA-PBE; values from VASP
! - VASP energy: -6.4999 eV/atom
! - Magnetic moment: 0.00 Bohr magnetons per cell
! - SG: P-1 (2)
&SYSTEM
  ibrav = 0, nat = 6, ntyp = 3
/
ATOMIC_SPECIES
Tm 168.93 Tm.upf
U 238.03 U.upf
H 1.01 H.upf
CELL_PARAMETERS angstrom
3.505 0.000 0.000
-0.027 3.542 0.000
-0.011 -0.017 8.971
ATOMIC_POSITIONS crystal
Tm 0.248 0.251 0.152
Tm 0.752 0.749 0.848
U 0.325 0.249 0.573
U 0.675 0.751 0.427
H 0.247 0.749 0.721
H 0.753 0.251 0.279

Record 8
! Nd2Ni3IrPt12, optimized geometry, DFT GGA-PBE; values from VASP
! - ΔE_f: -0.03 eV per atom
! - Magnetic moment: 2.66 Bohr magnetons per cell
! - SG: R-3m (166)
&SYSTEM
  ibrav = 0, nat = 18, ntyp = 4
/
ATOMIC_SPECIES
Nd 144.24 Nd.upf
Ni 58.69 Ni.upf
Ir 192.22 Ir.upf
Pt 195.08 Pt.upf
CELL_PARAMETERS angstrom
3.379 1.951 8.683
-3.379 1.951 8.683
0.000 -3.901 8.683
ATOMIC_POSITIONS crystal
Nd 0.157 0.157 0.157
Nd 0.843 0.843 0.843
Ni 0.000 0.500 0.500
Ni 0.500 0.000 0.500
Ni 0.500 0.500 0.000
Ir 0.500 0.500 0.500
Pt 0.088 0.088 0.686
Pt 0.088 0.686 0.088
Pt 0.136 0.576 0.576
Pt 0.314 0.912 0.912
Pt 0.424 0.424 0.864
Pt 0.424 0.864 0.424
Pt 0.576 0.136 0.576
Pt 0.576 0.576 0.136
Pt 0.686 0.088 0.088
Pt 0.864 0.424 0.424
Pt 0.912 0.314 0.912
Pt 0.912 0.912 0.314

Record 9
! CaZn2GeRh2, optimized geometry, DFT GGA-PBE; values from VASP
! - ΔE_f: -0.24 eV per atom
! - Magnetic moment: 0.01 Bohr magnetons per cell
! - SG: P4/mmm (123)
&SYSTEM
  ibrav = 0, nat = 6, ntyp = 4
/
ATOMIC_SPECIES
Ca 40.08 Ca.upf
Zn 65.41 Zn.upf
Ge 72.64 Ge.upf
Rh 102.91 Rh.upf
CELL_PARAMETERS angstrom
4.615 0.000 0.000
0.000 4.615 0.000
0.000 0.000 5.630
ATOMIC_POSITIONS crystal
Ca 0.000 0.000 0.000
Zn 0.500 0.500 0.240
Zn 0.500 0.500 0.760
Ge 0.000 0.000 0.500
Rh 0.000 0.500 0.500
Rh 0.500 0.000 0.500

Record 10
! BaGaPd3, optimized geometry, DFT GGA-PBE; values from VASP
! - ΔE_f: 0.97 eV per atom
! - Magnetic moment: 0.00 Bohr magnetons per cell
! - Relative energy among the computed polymorphs: 1523.9 meV per atom
! - SG: Pm-3m (221)
&SYSTEM
  ibrav = 0, nat = 5, ntyp = 3
/
ATOMIC_SPECIES
Ba 137.33 Ba.upf
Ga 69.72 Ga.upf
Pd 106.42 Pd.upf
CELL_PARAMETERS angstrom
5.414 0.000 0.000
0.000 5.414 0.000
0.000 0.000 5.414
ATOMIC_POSITIONS crystal
Ba 0.000 0.000 0.000
Ga 0.500 0.500 0.500
Pd 0.000 0.000 0.500
Pd 0.000 0.500 0.000
Pd 0.500 0.000 0.000

Record 11
! Rb2ZrTlI6, optimized geometry, DFT GGA-PBE; values from VASP
! - Raw formation energy: -1.01 eV per atom
! - Magnetic moment: 1.00 Bohr magnetons per cell
! - Relative energy among the computed polymorphs: 26.3 meV per atom
! - SG: Fm-3m (225)
&SYSTEM
  ibrav = 0, nat = 10, ntyp = 4
/
ATOMIC_SPECIES
Rb 85.47 Rb.upf
Zr 91.22 Zr.upf
Tl 204.38 Tl.upf
I 126.90 I.upf
CELL_PARAMETERS angstrom
0.000 6.275 6.275
6.275 0.000 6.275
6.275 6.275 0.000
ATOMIC_POSITIONS crystal
Rb 0.250 0.250 0.250
Rb 0.750 0.750 0.750
Zr 0.000 0.000 0.000
Tl 0.500 0.500 0.500
I 0.233 0.233 0.767
I 0.233 0.767 0.233
I 0.233 0.767 0.767
I 0.767 0.233 0.233
I 0.767 0.233 0.767
I 0.767 0.767 0.233

Record 12
! SnHO3, optimized geometry, DFT GGA-PBE; values from VASP
! - VASP energy: -4.3591 eV/atom
! - Magnetic moment: 1.00 Bohr magnetons per cell
! - SG: Pm-3m (221)
&SYSTEM
  ibrav = 0, nat = 5, ntyp = 3
/
ATOMIC_SPECIES
Sn 118.71 Sn.upf
H 1.01 H.upf
O 16.00 O.upf
CELL_PARAMETERS angstrom
4.032 0.000 0.000
0.000 4.032 0.000
0.000 0.000 4.032
ATOMIC_POSITIONS crystal
Sn 0.000 0.000 0.000
H 0.500 0.500 0.500
O 0.000 0.000 0.500
O 0.000 0.500 0.000
O 0.500 0.000 0.000

Record 13
! La14Tc3Au6, optimized geometry, DFT GGA-PBE; values from VASP
! - ΔE_f: -0.42 eV per atom
! - Magnetic moment: 0.00 Bohr magnetons per cell
! - SG: P3m1 (156)
&SYSTEM
  ibrav = 0, nat = 23, ntyp = 3
/
ATOMIC_SPECIES
La 138.91 La.upf
Tc 98.00 Tc.upf
Au 196.97 Au.upf
CELL_PARAMETERS angstrom
10.521 0.000 0.000
-5.261 9.112 0.000
0.000 0.000 7.352
ATOMIC_POSITIONS crystal
La 0.000 0.000 0.000
La 0.080 0.540 0.289
La 0.202 0.404 0.762
La 0.202 0.798 0.762
La 0.245 0.123 0.447
La 0.422 0.211 0.956
La 0.460 0.540 0.289
La 0.460 0.920 0.289
La 0.596 0.798 0.762
La 0.667 0.333 0.511
La 0.789 0.211 0.956
La 0.789 0.578 0.956
La 0.877 0.123 0.447
La 0.877 0.755 0.447
Tc 0.000 0.000 0.643
Tc 0.333 0.667 0.539
Tc 0.667 0.333 0.146
Au 0.148 0.296 0.173
Au 0.148 0.852 0.173
Au 0.518 0.037 0.682
Au 0.518 0.482 0.682
Au 0.704 0.852 0.173
Au 0.963 0.482 0.682

Record 14
! MnCrCo2, optimized geometry, DFT GGA-PBE; values from VASP
! - ΔE_f: 0.13 eV per atom
! - Magnetic moment: 4.80 Bohr magnetons per cell
! - SG: Cmm2 (35)
&SYSTEM
  ibrav = 0, nat = 4, ntyp = 3
/
ATOMIC_SPECIES
Mn 54.94 Mn.upf
Cr 52.00 Cr.upf
Co 58.93 Co.upf
CELL_PARAMETERS angstrom
1.399 -1.999 0.000
1.399 1.999 0.000
0.000 0.000 8.061
ATOMIC_POSITIONS crystal
Mn 0.000 0.000 0.000
Cr 0.500 0.500 0.246
Co 0.000 0.000 0.499
Co 0.500 0.500 0.748

Record 15
! SbRu3I, optimized geometry, DFT GGA-PBE; values from VASP
! - Raw formation energy: 1.57 eV per atom
! - Magnetic moment: 4.36 Bohr magnetons per cell
! - Relative energy among the computed polymorphs: 0.0 meV per atom
! - SG: Pm-3m (221)
&SYSTEM
  ibrav = 0, nat = 5, ntyp = 3
/
ATOMIC_SPECIES
Sb 121.76 Sb.upf
Ru 101.07 Ru.upf
I 126.90 I.upf
CELL_PARAMETERS angstrom
4.949 0.000 0.000
0.000 4.949 0.000
0.000 0.000 4.949
ATOMIC_POSITIONS crystal
Sb 0.000 0.000 0.000
Ru 0.000 0.000 0.500
Ru 0.000 0.500 0.000
Ru 0.500 0.000 0.000
I 0.500 0.500 0.500

Record 16
! KHg3Pd, optimized geometry, DFT GGA-PBE; values from VASP
! - ΔE_f: -0.03 eV per atom
! - Magnetic moment: 0.00 Bohr magnetons per cell
! - Relative energy among the computed polymorphs: 214.4 meV per atom
! - SG: P4mm (99)
&SYSTEM
  ibrav = 0, nat = 5, ntyp = 3
/
ATOMIC_SPECIES
K 39.10 K.upf
Hg 200.59 Hg.upf
Pd 106.42 Pd.upf
CELL_PARAMETERS angstrom
4.072 0.000 0.000
0.000 4.072 0.000
0.000 0.000 8.734
ATOMIC_POSITIONS crystal
K 0.000 0.000 0.000
Hg 0.000 0.000 0.636
Hg 0.000 0.500 0.335
Hg 0.500 0.000 0.335
Pd 0.500 0.500 0.600

Record 17
! MnAuSCl2, optimized geometry, DFT GGA-PBE; values from VASP
! - Raw formation energy: 0.31 eV per atom
! - Magnetic moment: 5.22 Bohr magnetons per cell
! - Relative energy among the computed polymorphs: 93.2 meV per atom
! - SG: P4/mmm (123)
&SYSTEM
  ibrav = 0, nat = 5, ntyp = 4
/
ATOMIC_SPECIES
Mn 54.94 Mn.upf
Au 196.97 Au.upf
S 32.06 S.upf
Cl 35.45 Cl.upf
CELL_PARAMETERS angstrom
4.881 0.000 0.000
0.000 4.881 0.000
0.000 0.000 5.093
ATOMIC_POSITIONS crystal
Mn 0.000 0.000 0.000
Au 0.500 0.500 0.500
S 0.500 0.500 0.000
Cl 0.000 0.500 0.500
Cl 0.500 0.000 0.500

Record 18
! NiSb2I4, optimized geometry, DFT GGA-PBE; values from VASP
! - Raw formation energy: 0.20 eV per atom
! - Magnetic moment: 0.42 Bohr magnetons per cell
! - SG: I4/mmm (139)
&SYSTEM
  ibrav = 0, nat = 7, ntyp = 3
/
ATOMIC_SPECIES
Ni 58.69 Ni.upf
Sb 121.76 Sb.upf
I 126.90 I.upf
CELL_PARAMETERS angstrom
-2.851 2.851 7.586
2.851 -2.851 7.586
2.851 2.851 -7.586
ATOMIC_POSITIONS crystal
Ni 0.000 0.000 0.000
Sb 0.404 0.404 0.000
Sb 0.596 0.596 0.000
I 0.000 0.500 0.500
I 0.169 0.169 0.000
I 0.500 0.000 0.500
I 0.831 0.831 0.000

Record 19
! TlReIr3, optimized geometry, DFT GGA-PBE; values from VASP
! - ΔE_f: 1.49 eV per atom
! - Magnetic moment: 0.00 Bohr magnetons per cell
! - Relative energy among the computed polymorphs: 0.0 meV per atom
! - SG: Pm-3m (221)
&SYSTEM
  ibrav = 0, nat = 5, ntyp = 3
/
ATOMIC_SPECIES
Tl 204.38 Tl.upf
Re 186.21 Re.upf
Ir 192.22 Ir.upf
CELL_PARAMETERS angstrom
4.799 0.000 0.000
0.000 4.799 0.000
0.000 0.000 4.799
ATOMIC_POSITIONS crystal
Tl 0.000 0.000 0.000
Re 0.500 0.500 0.500
Ir 0.000 0.500 0.500
Ir 0.500 0.000 0.500
Ir 0.500 0.500 0.000

Record 20
! ZrUPN2, optimized geometry, DFT GGA-PBE; values from VASP
! - Raw formation energy: -1.22 eV per atom
! - Magnetic moment: 1.01 Bohr magnetons per cell
! - SG: I4mm (107)
&SYSTEM
  ibrav = 0, nat = 5, ntyp = 4
/
ATOMIC_SPECIES
Zr 91.22 Zr.upf
U 238.03 U.upf
P 30.97 P.upf
N 14.01 N.upf
CELL_PARAMETERS angstrom
-1.856 1.856 5.692
1.856 -1.856 5.692
1.856 1.856 -5.692
ATOMIC_POSITIONS crystal
Zr 0.000 0.000 0.000
U 0.302 0.302 0.000
P 0.655 0.655 0.000
N 0.401 0.901 0.500
N 0.901 0.401 0.500

Record 21
! RbCd3Sn, optimized geometry, DFT GGA-PBE; values from VASP
! - ΔE_f: 0.83 eV per atom
! - Magnetic moment: 2.68 Bohr magnetons per cell
! - Relative energy among the computed polymorphs: 939.6 meV per atom
! - SG: Pm-3m (221)
&SYSTEM
  ibrav = 0, nat = 5, ntyp = 3
/
ATOMIC_SPECIES
Rb 85.47 Rb.upf
Cd 112.41 Cd.upf
Sn 118.71 Sn.upf
CELL_PARAMETERS angstrom
6.632 0.000 0.000
0.000 6.632 0.000
0.000 0.000 6.632
ATOMIC_POSITIONS crystal
Rb 0.000 0.000 0.000
Cd 0.000 0.000 0.500
Cd 0.000 0.500 0.000
Cd 0.500 0.000 0.000
Sn 0.500 0.500 0.500

Record 22
! HoPtS, optimized geometry, DFT GGA-PBE; values from VASP
! - Raw formation energy: -1.35 eV per atom
! - Magnetic moment: 0.00 Bohr magnetons per cell
! - Relative energy among the computed polymorphs: 0.0 meV per atom
! - SG: R-3m (166)
&SYSTEM
  ibrav = 0, nat = 6, ntyp = 3
/
ATOMIC_SPECIES
Ho 164.93 Ho.upf
Pt 195.08 Pt.upf
S 32.06 S.upf
CELL_PARAMETERS angstrom
2.186 1.262 8.031
-2.186 1.262 8.031
0.000 -2.525 8.031
ATOMIC_POSITIONS crystal
Ho 0.088 0.088 0.088
Ho 0.912 0.912 0.912
Pt 0.334 0.334 0.334
Pt 0.666 0.666 0.666
S 0.209 0.209 0.209
S 0.791 0.791 0.791

Record 23
! Si2HgPd, optimized geometry, DFT GGA-PBE; values from VASP
! - Raw formation energy: 0.11 eV per atom
! - Magnetic moment: 0.00 Bohr magnetons per cell
! - SG: I-42d (122)
&SYSTEM
  ibrav = 0, nat = 8, ntyp = 3
/
ATOMIC_SPECIES
Si 28.09 Si.upf
Hg 200.59 Hg.upf
Pd 106.42 Pd.upf
CELL_PARAMETERS angstrom
-2.139 2.139 8.193
2.139 -2.139 8.193
2.139 2.139 -8.193
ATOMIC_POSITIONS crystal
Si 0.051 0.625 0.926
Si 0.375 0.301 0.426
Si 0.699 0.125 0.074
Si 0.875 0.949 0.574
Hg 0.250 0.750 0.500
Hg 0.500 0.500 0.000
Pd 0.000 0.000 0.000
Pd 0.750 0.250 0.500

Record 24
! RbCd11Sn, optimized geometry, DFT GGA-PBE; values from VASP
! - ΔE_f: -0.01 eV per atom
! - Magnetic moment: 0.00 Bohr magnetons per cell
! - SG: C2/m (12)
&SYSTEM
  ibrav = 0, nat = 13, ntyp = 3
/
ATOMIC_SPECIES
Rb 85.47 Rb.upf
Cd 112.41 Cd.upf
Sn 118.71 Sn.upf
CELL_PARAMETERS angstrom
3.095 -7.326 0.000
3.095 7.326 0.000
-3.055 0.000 7.299
ATOMIC_POSITIONS crystal
Rb 0.000 0.000 0.000
Cd 0.000 0.500 0.000
Cd 0.012 0.372 0.355
Cd 0.288 0.510 0.784
Cd 0.372 0.012 0.355
Cd 0.490 0.712 0.216
Cd 0.500 0.000 0.000
Cd 0.500 0.500 0.500
Cd 0.510 0.288 0.784
Cd 0.628 0.988 0.645
Cd 0.712 0.490 0.216
Cd 0.988 0.628 0.645
Sn 0.000 0.000 0.500

Record 25
! BaB2MoPd, optimized geometry, DFT GGA-PBE; values from VASP
! - ΔE_f: 3.04 eV per atom
! - Magnetic moment: 0.13 Bohr magnetons per cell
! - SG: P4/mmm (123)
&SYSTEM
  ibrav = 0, nat = 5, ntyp = 4
/
ATOMIC_SPECIES
Ba 137.33 Ba.upf
B 10.81 B.upf
Mo 95.94 Mo.upf
Pd 106.42 Pd.upf
CELL_PARAMETERS angstrom
4.673 0.000 0.000
0.000 4.673 0.000
0.000 0.000 5.129
ATOMIC_POSITIONS crystal
Ba 0.000 0.000 0.000
B 0.000 0.500 0.000
B 0.500 0.000 0.000
Mo 0.500 0.500 0.500
Pd 0.000 0.000 0.500